[1]
SiAgMo2, optimized geometry, DFT PBE; space-group type = F-43m
1.0
0.1514 1.9957 3.9630
-2.8856 3.2318 0.9697
-3.2202 -0.7171 2.9711
Ag Mo Si
1 2 1
direct
0.2500 0.2500 0.2500
0.0000 0.0000 0.0000
0.7500 0.7500 0.7500
0.5000 0.5000 0.5000

=====

[2]
CsErIr, optimized geometry, DFT PBE; E above lowest polymorph = 889.0 meV per atom; space-group type = F-43m
1.0
-0.7455 -4.8050 0.5450
3.7461 -2.9471 1.1055
0.2861 -2.0318 4.4419
Cs Er Ir
1 1 1
direct
0.0000 0.0000 0.0000
0.7500 0.7500 0.7500
0.2500 0.2500 0.2500

=====

Which total magnetization belongs to each record? In order, 0.0; 0.0 μB/f.u..
Which total DFT energy (no corrections) belongs to each record? In order, -7.11; -3.37 eV per atom.